1.
First-principles (PBE) data for an optimized crystal structure of LaTm2Pa, as listed in Alexandria.

Geometry as POSCAR:
```
LaTm2Pa
1.0
3.4330 0.0000 0.0000
0.0000 3.4330 0.0000
0.0000 0.0000 10.1814
La Tm Pa
1 2 1
Direct
0.0000 0.0000 0.0000
0.5000 0.5000 0.2745
0.5000 0.5000 0.7255
0.0000 0.0000 0.5000
```

* formation energy from the elements: 0.12 eV/atom
* density: 9.79 g/cm³
* space group: No. 123
* E: -22.9 eV per cell
* distance to the lowest polymorph of the same formula: 0 meV/atom

---

2.
First-principles (PBE) data for an optimized crystal structure of K6AuF12, as listed in Alexandria.

Geometry as POSCAR:
```
K6AuF12
1.0
5.7318 3.3093 3.6745
-5.7318 3.3093 3.6745
0.0000 -6.6185 3.6745
K Au F
6 1 12
Direct
0.1019 0.8320 0.6565
0.1680 0.3435 0.8981
0.3435 0.8981 0.1680
0.6565 0.1019 0.8320
0.8320 0.6565 0.1019
0.8981 0.1680 0.3435
0.5000 0.5000 0.5000
0.0724 0.8949 0.3326
0.1051 0.6674 0.9276
0.2474 0.4278 0.5241
0.3326 0.0724 0.8949
0.4278 0.5241 0.2474
0.4759 0.7526 0.5722
0.5241 0.2474 0.4278
0.5722 0.4759 0.7526
0.6674 0.9276 0.1051
0.7526 0.5722 0.4759
0.8949 0.3326 0.0724
0.9276 0.1051 0.6674
```

* density: 2.62 g/cm³
* space group: No. 148
* E: -71.4 eV per cell

---

3.
First-principles (PBE) data for an optimized crystal structure of MgRe, as listed in Alexandria.

Geometry as POSCAR:
```
MgRe
1.0
1.4042 0.8107 4.7084
-1.4042 0.8107 4.7084
0.0000 -1.6214 4.7084
Mg Re
1 1
Direct
0.0000 0.0000 0.0000
0.5000 0.5000 0.5000
```

* formation energy from the elements: 0.36 eV/atom
* density: 10.87 g/cm³
* space group: No. 166
* E: -13.3 eV per cell
* distance to the lowest polymorph of the same formula: 292 meV/atom

---

4.
First-principles (PBE) data for an optimized crystal structure of LiHg3Pb3O8, as listed in Alexandria.

Geometry as POSCAR:
```
LiHg3Pb3O8
1.0
6.2029 -3.4507 0.0000
6.2029 3.4507 0.0000
-3.4406 0.0000 5.7207
Li Hg Pb O
1 3 3 8
Direct
0.0000 0.0000 0.0000
0.0000 0.0000 0.5000
0.0000 0.5000 0.5000
0.5000 0.0000 0.5000
0.0000 0.5000 0.0000
0.5000 0.0000 0.0000
0.5000 0.5000 0.0000
0.1703 0.7329 0.1875
0.2335 0.2335 0.2745
0.2594 0.2594 0.7831
0.2671 0.8297 0.8125
0.7329 0.1703 0.1875
0.7406 0.7406 0.2169
0.7665 0.7665 0.7255
0.8297 0.2671 0.8125
```

* density: 9.21 g/cm³
* space group: No. 12
* E: -62.8 eV per cell

---

5.
First-principles (PBE) data for an optimized crystal structure of LiDySb, as listed in Alexandria.

Geometry as POSCAR:
```
LiDySb
1.0
8.1044 -2.2626 0.0000
8.1044 2.2626 0.0000
-2.8906 0.0000 8.8186
Li Dy Sb
4 4 4
Direct
0.1804 0.1804 0.2239
0.2446 0.2446 0.5795
0.7554 0.7554 0.4205
0.8196 0.8196 0.7761
0.1668 0.1668 0.8489
0.4827 0.4827 0.7324
0.5173 0.5173 0.2676
0.8332 0.8332 0.1511
0.3579 0.3579 0.4024
0.3666 0.3666 0.9447
0.6334 0.6334 0.0553
0.6421 0.6421 0.5976
```

* density: 5.98 g/cm³
* space group: No. 12
* E: -49.8 eV per cell
* distance to the lowest polymorph of the same formula: 201 meV/atom

---

6.
First-principles (PBE) data for an optimized crystal structure of CsTl2Hg2Au, as listed in Alexandria.

Geometry as POSCAR:
```
CsTl2Hg2Au
1.0
5.6542 0.0000 0.0000
0.0000 5.6542 0.0000
0.0000 0.0000 6.9939
Cs Tl Hg Au
1 2 2 1
Direct
0.0000 0.0000 0.0000
0.0000 0.5000 0.5000
0.5000 0.0000 0.5000
0.5000 0.5000 0.2239
0.5000 0.5000 0.7761
0.0000 0.0000 0.5000
```

* formation energy from the elements: -0.11 eV/atom
* density: 8.46 g/cm³
* space group: No. 123
* E: -10.1 eV per cell

---

7.
First-principles (PBE) data for an optimized crystal structure of TaAgCl, as listed in Alexandria.

Geometry as POSCAR:
```
TaAgCl
1.0
-1.4915 1.4915 7.1168
1.4915 -1.4915 7.1168
1.4915 1.4915 -7.1168
Ta Ag Cl
1 1 1
Direct
0.0000 0.0000 0.0000
0.3622 0.3622 0.0000
0.6138 0.6138 0.0000
```

* density: 8.50 g/cm³
* space group: No. 107
* E: -16.3 eV per cell
* distance to the lowest polymorph of the same formula: 210 meV/atom

---

8.
First-principles (PBE) data for an optimized crystal structure of SrS2I, as listed in Alexandria.

Geometry as POSCAR:
```
SrS2I
1.0
2.8930 1.6703 3.6893
-2.8930 1.6703 3.6893
0.0000 -3.3406 3.6893
Sr S I
1 2 1
Direct
0.0000 0.0000 0.0000
0.2701 0.2701 0.2701
0.7299 0.7299 0.7299
0.5000 0.5000 0.5000
```

* density: 4.33 g/cm³
* space group: No. 166
* E: -14.0 eV per cell
* distance to the lowest polymorph of the same formula: 139 meV/atom

---

9.
First-principles (PBE) data for an optimized crystal structure of Li2MgPaSe4, as listed in Alexandria.

Geometry as POSCAR:
```
Li2MgPaSe4
1.0
6.8696 0.0000 0.0000
0.0000 3.9894 0.0000
-2.2694 0.0000 6.5183
Li Mg Pa Se
2 1 1 4
Direct
0.0000 0.0000 0.0000
0.5000 0.5000 0.0000
0.0000 0.5000 0.5000
0.5000 0.0000 0.5000
0.2412 0.0000 0.7428
0.2425 0.5000 0.2412
0.7575 0.5000 0.7588
0.7588 0.0000 0.2572
```

* density: 5.44 g/cm³
* space group: No. 10
* E: -39.2 eV per cell

---

10.
First-principles (PBE) data for an optimized crystal structure of CsCeTeCl2, as listed in Alexandria.

Geometry as POSCAR:
```
CsCeTeCl2
1.0
2.3012 -9.3819 0.0000
2.3012 9.3819 0.0000
0.0000 0.0000 9.0462
Cs Ce Te Cl
2 2 2 4
Direct
0.2145 0.7855 0.7500
0.7855 0.2145 0.2500
0.5000 0.5000 0.0000
0.5000 0.5000 0.5000
0.0007 0.9993 0.2500
0.9993 0.0007 0.7500
0.3548 0.6452 0.0031
0.3548 0.6452 0.4969
0.6452 0.3548 0.5031
0.6452 0.3548 0.9969
```

* density: 4.01 g/cm³
* space group: No. 63
* E: -45.5 eV per cell

---

11.
First-principles (PBE) data for an optimized crystal structure of AcPm2Ho, as listed in Alexandria.

Geometry as POSCAR:
```
AcPm2Ho
1.0
3.7248 0.0000 0.0000
0.0000 3.7248 0.0000
0.0000 0.0000 20.7852
Ac Pm Ho
2 4 2
Direct
0.2500 0.2500 0.0728
0.7500 0.7500 0.9272
0.2500 0.2500 0.5601
0.2500 0.2500 0.7951
0.7500 0.7500 0.2049
0.7500 0.7500 0.4399
0.2500 0.2500 0.3220
0.7500 0.7500 0.6780
```

* formation energy from the elements: 0.04 eV/atom
* density: 7.85 g/cm³
* space group: No. 129
* E: -36.0 eV per cell
* distance to the lowest polymorph of the same formula: 5 meV/atom

---

12.
First-principles (PBE) data for an optimized crystal structure of Rb2SiF6, as listed in Alexandria.

Geometry as POSCAR:
```
Rb2SiF6
1.0
0.0000 4.2932 4.2932
4.2932 0.0000 4.2932
4.2932 4.2932 0.0000
Rb Si F
2 1 6
Direct
0.2500 0.2500 0.2500
0.7500 0.7500 0.7500
0.0000 0.0000 0.0000
0.2006 0.2006 0.7994
0.2006 0.7994 0.2006
0.2006 0.7994 0.7994
0.7994 0.2006 0.2006
0.7994 0.2006 0.7994
0.7994 0.7994 0.2006
```

* density: 3.28 g/cm³
* space group: No. 225
* E: -47.0 eV per cell

---

13.
First-principles (PBE) data for an optimized crystal structure of La2NdSb, as listed in Alexandria.

Geometry as POSCAR:
```
La2NdSb
1.0
4.9486 0.0000 0.0000
0.0000 4.9486 0.0000
0.0000 0.0000 5.0387
La Nd Sb
2 1 1
Direct
0.0000 0.5000 0.0000
0.5000 0.0000 0.0000
0.0000 0.0000 0.5000
0.5000 0.5000 0.5000
```

* density: 7.32 g/cm³
* space group: No. 123
* E: -21.2 eV per cell
* distance to the lowest polymorph of the same formula: 0 meV/atom

---

14.
First-principles (PBE) data for an optimized crystal structure of Cs2BaBeBr6, as listed in Alexandria.

Geometry as POSCAR:
```
Cs2BaBeBr6
1.0
-4.0099 4.0099 5.6626
4.0099 -4.0099 5.6626
4.0099 4.0099 -5.6626
Cs Ba Be Br
2 1 1 6
Direct
0.2500 0.7500 0.5000
0.7500 0.2500 0.5000
0.0000 0.0000 0.0000
0.5000 0.5000 0.0000
0.2793 0.2793 0.5585
0.2793 0.7207 0.0000
0.2798 0.2798 0.0000
0.7202 0.7202 0.0000
0.7207 0.2793 0.0000
0.7207 0.7207 0.4415
```

* density: 4.07 g/cm³
* space group: No. 139
* E: -32.8 eV per cell

---

15.
First-principles (PBE) data for an optimized crystal structure of Hf4ScCd2, as listed in Alexandria.

Geometry as POSCAR:
```
Hf4ScCd2
1.0
2.2602 -10.9129 0.0000
2.2602 10.9129 0.0000
0.0000 0.0000 3.1610
Hf Sc Cd
4 1 2
Direct
0.0726 0.9274 0.0000
0.3544 0.6456 0.5000
0.6456 0.3544 0.5000
0.9274 0.0726 0.0000
0.5000 0.5000 0.5000
0.2123 0.7877 0.0000
0.7877 0.2123 0.0000
```

* formation energy from the elements: 0.04 eV/atom
* density: 10.48 g/cm³
* space group: No. 65
* E: -47.7 eV per cell

---

16.
First-principles (PBE) data for an optimized crystal structure of BaRuCl2, as listed in Alexandria.

Geometry as POSCAR:
```
BaRuCl2
1.0
5.7882 -1.9725 0.0000
5.7882 1.9725 0.0000
-0.5422 0.0000 5.1490
Ba Ru Cl
1 1 2
Direct
0.0000 0.0000 0.0000
0.6971 0.6971 0.7674
0.2783 0.2783 0.9383
0.5106 0.5106 0.4865
```

* density: 4.37 g/cm³
* space group: No. 8
* E: -17.5 eV per cell
* distance to the lowest polymorph of the same formula: 127 meV/atom

---

17.
First-principles (PBE) data for an optimized crystal structure of AcSb2F11, as listed in Alexandria.

Geometry as POSCAR:
```
AcSb2F11
1.0
-5.6217 4.9695 4.8288
5.6217 -4.9695 4.8288
5.6217 4.9695 -4.8288
Ac Sb F
2 4 22
Direct
0.0000 0.0000 0.0000
0.0000 0.5000 0.5000
0.1261 0.5683 0.0578
0.4993 0.4305 0.5688
0.5105 0.0683 0.9422
0.8617 0.9305 0.4312
0.1071 0.3383 0.0258
0.1071 0.5813 0.2687
0.1376 0.5532 0.8421
0.1376 0.7956 0.0844
0.1386 0.0892 0.5494
0.2871 0.2237 0.2939
0.2871 0.4933 0.5634
0.3126 0.0813 0.9742
0.3126 0.8383 0.7313
0.3962 0.6966 0.1997
0.4969 0.1966 0.8003
0.5243 0.9396 0.0846
0.5398 0.5892 0.4506
0.7111 0.0532 0.9156
0.7111 0.2956 0.1579
0.7323 0.4263 0.5425
0.7323 0.6898 0.8061
0.8550 0.4396 0.9154
0.8838 0.1898 0.4575
0.8838 0.9263 0.1939
0.9299 0.7237 0.4366
0.9299 0.9933 0.7061
```

* density: 4.18 g/cm³
* space group: No. 46
* E: -146.2 eV per cell

---

18.
First-principles (PBE) data for an optimized crystal structure of ErScBeRu, as listed in Alexandria.

Geometry as POSCAR:
```
ErScBeRu
1.0
0.0000 3.2946 3.2946
3.2946 0.0000 3.2946
3.2946 3.2946 0.0000
Er Sc Be Ru
1 1 1 1
Direct
0.0000 0.0000 0.0000
0.5000 0.5000 0.5000
0.7500 0.7500 0.7500
0.2500 0.2500 0.2500
```

* formation energy from the elements: -0.24 eV/atom
* density: 7.48 g/cm³
* space group: No. 216
* E: -24.9 eV per cell

---

19.
First-principles (PBE) data for an optimized crystal structure of SrLaAl, as listed in Alexandria.

Geometry as POSCAR:
```
SrLaAl
1.0
7.8870 0.0000 0.0000
0.0000 3.8476 0.0000
0.0000 0.0000 13.7492
Sr La Al
4 4 4
Direct
0.1325 0.2500 0.1076
0.3675 0.7500 0.6076
0.6325 0.2500 0.3924
0.8675 0.7500 0.8924
0.1164 0.2500 0.3759
0.3836 0.7500 0.8759
0.6164 0.2500 0.1241
0.8836 0.7500 0.6241
0.1284 0.2500 0.7574
0.3716 0.7500 0.2574
0.6284 0.2500 0.7426
0.8716 0.7500 0.2426
```

* formation energy from the elements: -0.11 eV/atom
* density: 4.04 g/cm³
* space group: No. 62
* E: -42.7 eV per cell
* distance to the lowest polymorph of the same formula: 97 meV/atom

---

20.
First-principles (PBE) data for an optimized crystal structure of CaZnPt2, as listed in Alexandria.

Geometry as POSCAR:
```
CaZnPt2
1.0
3.0229 0.0000 0.0000
0.0000 3.4247 0.0000
0.0000 0.0000 6.8336
Ca Zn Pt
1 1 2
Direct
0.0000 0.0000 0.0000
0.0000 0.0000 0.5000
0.5000 0.5000 0.2898
0.5000 0.5000 0.7102
```

* formation energy from the elements: -0.64 eV/atom
* density: 11.63 g/cm³
* space group: No. 47
* E: -17.9 eV per cell

---

21.
First-principles (PBE) data for an optimized crystal structure of NaInGaPt, as listed in Alexandria.

Geometry as POSCAR:
```
NaInGaPt
1.0
0.0000 3.3228 3.3228
3.3228 0.0000 3.3228
3.3228 3.3228 0.0000
Na In Ga Pt
1 1 1 1
Direct
0.0000 0.0000 0.0000
0.7500 0.7500 0.7500
0.2500 0.2500 0.2500
0.5000 0.5000 0.5000
```

* formation energy from the elements: -0.32 eV/atom
* density: 9.11 g/cm³
* space group: No. 216
* E: -14.4 eV per cell

---

22.
First-principles (PBE) data for an optimized crystal structure of Rb2CeInI6, as listed in Alexandria.

Geometry as POSCAR:
```
Rb2CeInI6
1.0
8.5770 0.0000 0.0000
0.0000 9.2482 0.0000
-8.3324 0.0000 12.4681
Rb Ce In I
4 2 2 12
Direct
0.2121 0.0880 0.2475
0.2121 0.4120 0.7475
0.7879 0.5880 0.2525
0.7879 0.9120 0.7525
0.5000 0.0000 0.0000
0.5000 0.5000 0.5000
0.0000 0.0000 0.5000
0.0000 0.5000 0.0000
0.1436 0.1807 0.9437
0.1436 0.3193 0.4437
0.2662 0.7096 0.9380
0.2662 0.7904 0.4380
0.3831 0.0365 0.7614
0.3831 0.4635 0.2614
0.6169 0.5365 0.7386
0.6169 0.9635 0.2386
0.7338 0.2096 0.5620
0.7338 0.2904 0.0620
0.8564 0.6807 0.5563
0.8564 0.8193 0.0563
```

* density: 3.99 g/cm³
* space group: No. 14
* E: -64.7 eV per cell

---

23.
First-principles (PBE) data for an optimized crystal structure of K2ScGeO4, as listed in Alexandria.

Geometry as POSCAR:
```
K2ScGeO4
1.0
-2.9141 2.9141 4.2728
2.9141 -2.9141 4.2728
2.9141 2.9141 -4.2728
K Sc Ge O
2 1 1 4
Direct
0.0000 0.0000 0.0000
0.7500 0.2500 0.5000
0.5000 0.5000 0.0000
0.2500 0.7500 0.5000
0.2408 0.1134 0.6127
0.3719 0.7592 0.8726
0.5006 0.6281 0.3873
0.8866 0.4994 0.1274
```

* density: 2.97 g/cm³
* space group: No. 82
* E: -49.1 eV per cell

---

24.
First-principles (PBE) data for an optimized crystal structure of HfGeAu2, as listed in Alexandria.

Geometry as POSCAR:
```
HfGeAu2
1.0
3.9942 0.0000 0.0000
0.0000 3.9942 0.0000
0.0000 0.0000 4.6230
Hf Ge Au
1 1 2
Direct
0.0000 0.0000 0.0000
0.5000 0.5000 0.0000
0.0000 0.5000 0.5000
0.5000 0.0000 0.5000
```

* formation energy from the elements: -0.34 eV/atom
* density: 14.52 g/cm³
* space group: No. 123
* E: -22.5 eV per cell

---

Number 1: calculated volume 120.0 Å³/f.u., magnetization 0.0 μB/cell. Number 2: calculated volume 418.2 Å³/f.u., magnetization 1.0 μB/cell. Number 3: calculated volume 32.2 Å³/f.u., magnetization 0.0 μB/cell. Number 4: calculated volume 244.9 Å³/f.u., magnetization 0.0 μB/cell. Number 5: calculated volume 80.9 Å³/f.u., magnetization 0.9 μB/cell. Number 6: calculated volume 223.6 Å³/f.u., magnetization 0.0 μB/cell. Number 7: calculated volume 63.3 Å³/f.u., magnetization 0.0 μB/cell. Number 8: calculated volume 107.0 Å³/f.u., magnetization 0.0 μB/cell. Number 9: calculated volume 178.6 Å³/f.u., magnetization 1.0 μB/cell. Number 10: calculated volume 195.3 Å³/f.u., magnetization 2.0 μB/cell. Number 11: calculated volume 144.2 Å³/f.u., magnetization 0.0 μB/cell. Number 12: calculated volume 158.3 Å³/f.u., magnetization 0.1 μB/cell. Number 13: calculated volume 123.4 Å³/f.u., magnetization 0.0 μB/cell. Number 14: calculated volume 364.2 Å³/f.u., magnetization 0.0 μB/cell. Number 15: calculated volume 155.9 Å³/f.u., magnetization 0.0 μB/cell. Number 16: calculated volume 117.6 Å³/f.u., magnetization 1.1 μB/cell. Number 17: calculated volume 269.8 Å³/f.u., magnetization 0.0 μB/cell. Number 18: calculated volume 71.5 Å³/f.u., magnetization 0.0 μB/cell. Number 19: calculated volume 104.3 Å³/f.u., magnetization 0.0 μB/cell. Number 20: calculated volume 70.7 Å³/f.u., magnetization 0.0 μB/cell. Number 21: calculated volume 73.4 Å³/f.u., magnetization 0.0 μB/cell. Number 22: calculated volume 494.5 Å³/f.u., magnetization 2.0 μB/cell. Number 23: calculated volume 145.1 Å³/f.u., magnetization 0.0 μB/cell. Number 24: calculated volume 73.8 Å³/f.u., magnetization 0.0 μB/cell.